[1]
A relaxed ScMnBiO2 crystal. Source: the Alexandria database, functional GGA+U.

## Properties
space group	No. 123
energy	-27.12	eV for the cell shown
DOS(E_F)	3.8	states/eV/cell

Cell lengths 4.446, 5.285, 4.446 Å; angles 90.00, 90.00, 90.00 degrees
Site moments in Bohr magnetons follow the coordinates.
Fractional positions:
Sc  0.500  0.500  0.500  -0.78
Mn  0.000  0.500  0.000  4.13
Bi  0.000  0.000  0.000  -0.11
O  0.000  0.000  0.500  0.06
O  0.500  0.000  0.000  0.01

[2]
A relaxed ScMnBi2O6 crystal. Source: the Alexandria database, functional GGA+U.

## Properties
relative energy among the computed polymorphs	118.4	meV/atom
space group	No. 1
DOS(E_F)	0.0	states/eV/cell

Cell lengths 5.659, 5.663, 5.740 Å; angles 60.37, 60.30, 59.89 degrees
Site moments in Bohr magnetons follow the coordinates.
Fractional positions:
Sc  0.310  0.311  0.067  0.00
Mn  0.818  0.819  0.544  2.01
Bi  0.529  0.531  0.406  0.01
Bi  0.033  0.035  0.896  0.01
O  0.601  0.138  0.275  -0.01
O  0.138  0.986  0.274  -0.02
O  0.988  0.603  0.274  -0.01
O  0.499  0.651  0.759  0.00
O  0.654  0.090  0.759  -0.01
O  0.091  0.499  0.760  -0.02

[3]
A relaxed ScMn2BiO6 crystal. Source: the Alexandria database, functional GGA+U.

## Properties
space group	No. 146
energy	-74.22	eV for the cell shown

Cell lengths 5.423, 5.424, 5.713 Å; angles 61.67, 61.67, 59.99 degrees
Site moments in Bohr magnetons follow the coordinates.
Fractional positions:
Sc  0.812  0.812  0.565  0.04
Mn  0.511  0.511  0.466  3.53
Mn  0.023  0.023  0.932  4.46
Bi  0.297  0.297  0.110  0.02
O  0.671  0.240  0.253  -0.05
O  0.240  0.836  0.253  -0.05
O  0.836  0.671  0.253  -0.05
O  0.409  0.724  0.728  -0.04
O  0.724  0.139  0.728  -0.04
O  0.139  0.409  0.728  -0.04